Crystalline NaHg2PdPb at its relaxed geometry, computed with PBE.

Structure (POSCAR):
```
NaHg2PdPb
1.0
5.337 0.000 0.000
0.000 5.337 0.000
0.000 0.000 5.286
Na Hg Pd Pb
1 2 1 1
Cartesian
0.000 0.000 0.000
0.000 2.669 2.643
2.669 0.000 2.643
2.669 2.669 2.643
2.669 2.669 0.000
```

## Properties
The calculation puts the formation enthalpy at 0 K at -0.0534 eV per atom.



Crystalline RbOs at its relaxed geometry, computed with PBE.

Structure (POSCAR):
```
RbOs
1.0
7.312 0.000 0.000
0.000 7.312 0.000
0.000 0.000 6.984
Rb Os
4 4
Cartesian
1.331 1.331 0.000
2.324 4.987 3.492
4.987 2.324 3.492
5.980 5.980 0.000
0.787 0.787 3.492
2.869 4.443 0.000
4.443 2.869 0.000
6.524 6.524 3.492
```

## Properties
The calculation puts the formation enthalpy at 0 K at 2.0627 eV per atom. The excess energy over the best structure of this formula in the dataset comes out at 1.148 eV/atom.



Crystalline NdDyCd14 at its relaxed geometry, computed with PBE.

Structure (POSCAR):
```
NdDyCd14
1.0
6.654 0.000 0.000
0.000 6.654 0.000
0.000 0.000 8.481
Nd Dy Cd
1 1 14
Cartesian
0.000 0.000 0.000
3.327 3.327 0.000
0.000 0.000 4.240
0.000 3.327 0.000
0.000 3.327 4.240
1.682 1.682 2.207
1.682 1.682 6.274
1.682 4.972 2.207
1.682 4.972 6.274
3.327 0.000 0.000
3.327 0.000 4.240
3.327 3.327 4.240
4.972 1.682 2.207
4.972 1.682 6.274
4.972 4.972 2.207
4.972 4.972 6.274
```

## Properties
The calculation puts the formation enthalpy at 0 K at -0.1440 eV per atom.



Crystalline PaAs3 at its relaxed geometry, computed with PBE.

Structure (POSCAR):
```
PaAs3
1.0
4.056 0.000 0.000
0.000 4.056 0.000
0.000 0.000 9.860
Pa As
2 6
Cartesian
0.000 0.000 0.000
2.028 2.028 4.930
0.000 0.000 4.930
0.000 2.028 2.465
0.000 2.028 7.395
2.028 0.000 2.465
2.028 0.000 7.395
2.028 2.028 0.000
```

## Properties
The calculation puts the formation enthalpy at 0 K at -0.6134 eV per atom.



Question: Which value of formation enthalpy at 0 K does entry 4 give?
Answer: -0.6134 eV per atom